Record 1
Compound: Pr2HoPt
Source: Alexandria
Functional: PBE-GGA
Structure: relaxed

```
Pr2HoPt
1.0
6.627 0.000 0.000
0.000 6.791 -0.003
0.000 0.006 11.570
Pr Ho Pt
8 4 4
direct
0.266 0.086 0.413
0.266 0.586 0.587
0.234 0.086 0.087
0.234 0.586 0.913
0.734 0.414 0.413
0.766 0.914 0.913
0.734 0.914 0.587
0.766 0.414 0.087
0.250 0.559 0.250
0.750 0.441 0.750
0.250 0.059 0.750
0.750 0.941 0.250
0.500 0.750 0.096
0.000 0.250 0.596
0.500 0.250 0.904
0.000 0.750 0.404
```

Computed properties:
The formation energy is -48 kJ per mole of atoms. The calculation puts the total energy at -88.66 eV for the cell shown. For the energy above the lowest structure with this stoichiometry, the calculation gives 0.058 eV per atom.

Record 2
Compound: PrHoPt2
Source: Alexandria
Functional: PBE-GGA
Structure: relaxed

```
PrHoPt2
1.0
3.537 0.000 0.000
0.000 3.537 0.000
0.000 0.000 7.185
Pt Ho Pr
2 1 1
direct
0.000 0.000 0.227
0.000 0.000 0.773
0.500 0.500 0.000
0.500 0.500 0.500
```

Computed properties:
The formation energy is -108 kJ per mole of atoms. The calculation puts the total energy at -25.92 eV for the cell shown. For the energy above the lowest structure with this stoichiometry, the calculation gives 0.072 eV per atom.

Record 3
Compound: Pr5HoPt4
Source: Alexandria
Functional: PBE-GGA
Structure: relaxed

```
Pr5HoPt4
1.0
4.212 0.000 0.000
0.000 8.157 -0.606
-2.106 -1.799 8.927
Pt Ho Pr
4 1 5
direct
0.667 0.103 0.334
0.001 0.247 0.003
0.999 0.753 0.997
0.333 0.897 0.666
0.500 0.000 0.000
0.167 0.853 0.334
0.166 0.344 0.331
0.834 0.656 0.669
0.500 0.500 0.000
0.833 0.147 0.666
```

Computed properties:
The formation energy is -82 kJ per mole of atoms. The calculation puts the total energy at -61.17 eV for the cell shown.

Record 4
Compound: PrHoPt2
Source: Alexandria
Functional: PBE-GGA
Structure: relaxed

```
PrHoPt2
1.0
3.856 0.000 -0.027
0.000 4.533 0.000
-1.895 0.000 5.386
Pt Pr Ho
2 1 1
direct
0.994 0.000 0.527
0.169 0.500 0.877
0.722 0.000 0.982
0.447 0.500 0.433
```

Computed properties:
The formation energy is -115 kJ per mole of atoms. The calculation puts the total energy at -26.20 eV for the cell shown. For the energy above the lowest structure with this stoichiometry, the calculation gives 0.000 eV per atom.

Record 5
Compound: PrHo2Pt9
Source: Alexandria
Functional: PBE-GGA
Structure: relaxed

```
PrHo2Pt9
1.0
5.438 0.000 0.000
2.719 4.709 0.000
2.719 1.570 8.830
Pt Ho Pr
9 2 1
direct
0.500 0.500 0.500
0.588 0.081 0.742
0.667 0.667 0.999
0.412 0.919 0.258
0.588 0.588 0.742
0.333 0.333 0.001
0.081 0.588 0.742
0.919 0.412 0.258
0.412 0.412 0.258
0.140 0.140 0.580
0.860 0.860 0.420
0.000 0.000 0.000
```

Computed properties:
The formation energy is -92 kJ per mole of atoms. The calculation puts the total energy at -79.79 eV for the cell shown.

Record 6
Compound: PrHo3Pt
Source: Alexandria
Functional: PBE-GGA
Structure: relaxed

```
PrHo3Pt
1.0
6.124 0.000 0.000
0.000 7.596 0.000
0.001 -3.798 6.579
Ho Pt Pr
6 2 2
direct
0.750 0.179 0.821
0.250 0.821 0.642
0.250 0.358 0.179
0.750 0.642 0.821
0.750 0.179 0.358
0.250 0.821 0.179
0.000 0.000 0.000
0.500 0.000 0.000
0.750 0.667 0.333
0.250 0.333 0.667
```

Computed properties:
The formation energy is -40 kJ per mole of atoms. The calculation puts the total energy at -53.21 eV for the cell shown. For the energy above the lowest structure with this stoichiometry, the calculation gives 0.000 eV per atom.

Record 7
Compound: PrHoSi2Pt5
Source: Alexandria
Functional: PBE-GGA
Structure: relaxed

```
PrHoSi2Pt5
1.0
4.252 0.000 0.000
0.000 4.252 0.000
0.000 0.000 8.987
Pt Si Ho Pr
5 2 1 1
direct
0.500 0.000 0.257
0.000 0.500 0.743
0.500 0.000 0.743
0.500 0.500 0.500
0.000 0.500 0.257
0.500 0.500 0.131
0.500 0.500 0.869
0.000 0.000 0.000
0.000 0.000 0.500
```

Computed properties:
Its uncorrected formation energy is -1.024 eV/atom. The calculation puts the total energy at -59.62 eV for the cell shown.

Record 8
Compound: PrHo2Si2Pt7
Source: Alexandria
Functional: PBE-GGA
Structure: relaxed

```
PrHo2Si2Pt7
1.0
-3.403 0.826 -2.084
-2.011 -2.905 2.030
-5.624 8.393 9.515
Ho Pt Si Pr
2 7 2 1
direct
0.881 0.881 0.360
0.119 0.119 0.640
0.364 0.364 0.430
0.565 0.066 0.831
0.500 0.500 0.000
0.934 0.435 0.169
0.066 0.565 0.831
0.636 0.636 0.570
0.435 0.934 0.169
0.600 0.600 0.738
0.400 0.400 0.262
0.000 0.000 0.000
```

Computed properties:
Its uncorrected formation energy is -1.045 eV/atom. The calculation puts the total energy at -79.61 eV for the cell shown.

Record 9
Compound: PrHoSi2Pt2
Source: Alexandria
Functional: PBE-GGA
Structure: relaxed

```
PrHoSi2Pt2
1.0
-2.582 2.879 1.559
-0.281 -3.960 1.272
5.437 1.574 6.101
Pr Si Pt Ho
1 2 2 1
direct
0.000 0.000 0.000
0.333 0.667 0.257
0.667 0.333 0.743
0.667 0.333 0.267
0.333 0.667 0.733
0.000 0.000 0.500
```

Computed properties:
Its uncorrected formation energy is -1.129 eV/atom. The calculation puts the total energy at -39.06 eV for the cell shown.

Record 10
Compound: Pr2SmHoPt2
Source: Alexandria
Functional: PBE-GGA
Structure: relaxed

```
Pr2SmHoPt2
1.0
6.870 0.000 0.000
0.000 6.871 0.000
-3.435 -3.436 7.159
Pr Sm Pt Ho
4 2 4 2
direct
0.692 0.911 0.383
0.308 0.089 0.617
0.192 0.473 0.383
0.808 0.527 0.617
0.750 0.000 0.000
0.250 0.000 0.000
0.610 0.375 0.220
0.890 0.155 0.780
0.390 0.625 0.780
0.110 0.845 0.220
0.750 0.500 0.000
0.250 0.500 0.000
```

Computed properties:
The formation energy is -78 kJ per mole of atoms. The calculation puts the total energy at -71.57 eV for the cell shown.

Record 11
Compound: Pr2HoSn3Pt4
Source: Alexandria
Functional: PBE-GGA
Structure: relaxed

```
Pr2HoSn3Pt4
1.0
-1.698 3.739 -2.117
-1.926 -2.697 -3.218
-9.202 -0.718 6.111
Ho Pt Sn Pr
1 4 3 2
direct
0.500 0.500 0.500
0.500 0.500 0.000
0.500 0.000 0.640
0.000 0.500 0.360
0.000 0.000 0.000
0.500 0.000 0.875
0.000 0.000 0.500
0.000 0.500 0.125
0.000 0.500 0.779
0.500 0.000 0.221
```

Computed properties:
The formation energy is -89 kJ per mole of atoms. The calculation puts the total energy at -59.53 eV for the cell shown.

Record 12
Compound: PrHoZnPt
Source: Alexandria
Functional: PBE-GGA
Structure: relaxed

```
PrHoZnPt
1.0
-3.586 3.587 0.315
-2.956 0.997 -4.012
-4.908 -1.314 0.071
Zn Pr Ho Pt
1 1 1 1
direct
0.000 0.000 0.000
0.750 0.750 0.750
0.250 0.250 0.250
0.500 0.500 0.500
```

Computed properties:
The formation energy is -68 kJ per mole of atoms. The calculation puts the total energy at -19.49 eV for the cell shown. For the energy above the lowest structure with this stoichiometry, the calculation gives 0.048 eV per atom.